VASP calculation (GGA-PBE) on a relaxed structure of Zr2TlSb.

a = 5.410 Å, b = 5.410 Å, c = 5.410 Å
α = 134.36°, β = 122.51°, γ = 76.31°
Fractional coordinates of all 4 atoms:
Zr  0.244  0.244  0.000
Zr  0.756  0.756  0.000
Tl  0.500  0.000  0.500
Sb  0.000  0.500  0.500

Calculated values
The calculation puts the uncorrected formation energy at -0.28 eV per atom. For the calculated volume, the calculation gives 92.90 Å³/cell. For the total energy, the calculation gives -0.22695 Ha/atom. For the magnetization, the calculation gives 0.000 μB per formula unit.